Entry 1:
Computed, not measured: YSc2OsO after structural relaxation at the PBE level of DFT.

Computed properties:
The space group is P4/mmm, No. 123. The total magnetic moment is 0.000 μB/atom. For the final energy, the calculation gives -8.31 eV/atom. The density of states at the Fermi level is 3.38 states/eV/f.u.

Cell lengths 4.2680, 4.2680, 4.7857 Å; angles 90.00, 90.00, 90.00 degrees
Last column: nearest neighbours and their distance in Å.
Fractional positions:
Y: 0.0000 0.0000 0.0000  2 O 2.39
Sc: 0.0000 0.5000 0.5000  2 O 2.13
Sc: 0.5000 0.0000 0.5000  2 O 2.13
Os: 0.5000 0.5000 0.0000  4 Y 3.02, 8 Sc 3.21
O: 0.0000 0.0000 0.5000  4 Sc 2.13

Entry 2:
Computed, not measured: ScZnOsO2 after structural relaxation at the PBE level of DFT.

Computed properties:
The space group is P4/mmm, No. 123. The total magnetic moment is 0.121 μB/atom. For the final energy, the calculation gives -5.17 eV/atom. The density of states at the Fermi level is 4.93 states/eV/f.u.

Cell lengths 3.7684, 3.7684, 5.5503 Å; angles 90.00, 90.00, 90.00 degrees
Last column: nearest neighbours and their distance in Å.
Fractional positions:
Sc: 0.0000 0.0000 0.0000  4 Os 2.66, 2 Zn 2.78
Zn: 0.0000 0.0000 0.5000  4 O 1.88
Os: 0.5000 0.5000 0.0000  4 Sc 2.66
O: 0.0000 0.5000 0.5000  2 Zn 1.88
O: 0.5000 0.0000 0.5000  2 Zn 1.88

Entry 3:
Computed, not measured: ZrScOsO6 after structural relaxation at the PBE level of DFT.

Computed properties:
The space group is P-31c, No. 163. The total magnetic moment is 0.334 μB/atom. For the final energy, the calculation gives -8.56 eV/atom. The density of states at the Fermi level is 0.03 states/eV/f.u.

Cell lengths 5.2573, 5.2573, 9.2582 Å; angles 90.00, 90.00, 120.00 degrees
Last column: nearest neighbours and their distance in Å.
Fractional positions:
Zr: 0.3333 0.6667 0.2500  6 O 2.12
Zr: 0.6667 0.3333 0.7500  6 O 2.12
Sc: 0.0000 0.0000 0.0000  6 O 2.16
Sc: 0.0000 0.0000 0.5000  6 O 2.16
Os: 0.3333 0.6667 0.7500  6 O 1.99
Os: 0.6667 0.3333 0.2500  6 O 1.99
O: 0.0196 0.3493 0.6310  1 Os 1.99, 1 Zr 2.12, 1 Sc 2.16
O: 0.0196 0.6703 0.8690  1 Os 1.99, 1 Zr 2.12, 1 Sc 2.16
O: 0.3297 0.3493 0.8690  1 Os 1.99, 1 Zr 2.12, 1 Sc 2.16
O: 0.3297 0.9804 0.6310  1 Os 1.99, 1 Zr 2.12, 1 Sc 2.16
O: 0.3493 0.0196 0.1310  1 Os 1.99, 1 Zr 2.12, 1 Sc 2.16
O: 0.3493 0.3297 0.3690  1 Os 1.99, 1 Zr 2.12, 1 Sc 2.16
O: 0.6507 0.6703 0.6310  1 Os 1.99, 1 Zr 2.12, 1 Sc 2.16
O: 0.6507 0.9804 0.8690  1 Os 1.99, 1 Zr 2.12, 1 Sc 2.16
O: 0.6703 0.0196 0.3690  1 Os 1.99, 1 Zr 2.12, 1 Sc 2.16
O: 0.6703 0.6507 0.1310  1 Os 1.99, 1 Zr 2.12, 1 Sc 2.16
O: 0.9804 0.3297 0.1310  1 Os 1.99, 1 Zr 2.12, 1 Sc 2.16
O: 0.9804 0.6507 0.3690  1 Os 1.99, 1 Zr 2.12, 1 Sc 2.16

Entry 4:
Computed, not measured: ZrScOsO2 after structural relaxation at the PBE level of DFT.

Computed properties:
The space group is P4/mmm, No. 123. The total magnetic moment is 0.239 μB/atom. For the final energy, the calculation gives -7.60 eV/atom. The density of states at the Fermi level is 2.62 states/eV/f.u.

Cell lengths 3.8530, 3.8530, 9.1309 Å; angles 90.00, 90.00, 90.00 degrees
Last column: nearest neighbours and their distance in Å.
Fractional positions:
Zr: 0.0000 0.0000 0.0000  4 Os 2.72
Sc: 0.0000 0.0000 0.5000  4 O 1.93
Os: 0.5000 0.5000 0.0000  4 Zr 2.72
O: 0.0000 0.5000 0.5000  2 Sc 1.93
O: 0.5000 0.0000 0.5000  2 Sc 1.93

Entry 5:
Computed, not measured: Os2SeO after structural relaxation at the PBE level of DFT.

Computed properties:
The space group is I-42d, No. 122. The total magnetic moment is 0.000 μB/atom. For the final energy, the calculation gives -7.40 eV/atom. The density of states at the Fermi level is 1.11 states/eV/f.u.

Cell lengths 4.1654, 4.1654, 14.0148 Å; angles 90.00, 90.00, 90.00 degrees
Last column: nearest neighbours and their distance in Å.
Fractional positions:
Os: 0.1678 0.2500 0.1250  2 O 2.15
Os: 0.2500 0.6678 0.3750  2 O 2.15
Os: 0.2500 0.8322 0.8750  2 O 2.15
Os: 0.3322 0.2500 0.6250  2 O 2.15
Os: 0.6678 0.7500 0.6250  2 O 2.15
Os: 0.7500 0.1678 0.8750  2 O 2.15
Os: 0.7500 0.3322 0.3750  2 O 2.15
Os: 0.8322 0.7500 0.1250  2 O 2.15
Se: 0.0000 0.0000 0.5000  4 Os 2.46
Se: 0.0000 0.5000 0.7500  4 Os 2.46
Se: 0.5000 0.0000 0.2500  4 Os 2.46
Se: 0.5000 0.5000 0.0000  4 Os 2.46
O: 0.0000 0.0000 0.0000  4 Os 2.15
O: 0.0000 0.5000 0.2500  4 Os 2.15
O: 0.5000 0.0000 0.7500  4 Os 2.15
O: 0.5000 0.5000 0.5000  4 Os 2.15

Entry 6:
Computed, not measured: OsSeO3 after structural relaxation at the PBE level of DFT.

Computed properties:
The space group is Pm-3m, No. 221. The total magnetic moment is 0.821 μB/atom. For the final energy, the calculation gives -5.05 eV/atom. The density of states at the Fermi level is 3.66 states/eV/f.u.

Cell lengths 3.9349, 3.9349, 3.9349 Å; angles 90.00, 90.00, 90.00 degrees
Last column: nearest neighbours and their distance in Å.
Fractional positions:
Os: 0.0000 0.0000 0.0000  12 O 2.78
Se: 0.5000 0.5000 0.5000  6 O 1.97
O: 0.0000 0.5000 0.5000  2 Se 1.97
O: 0.5000 0.0000 0.5000  2 Se 1.97
O: 0.5000 0.5000 0.0000  2 Se 1.97

Entry 7:
Computed, not measured: OsSeO3 after structural relaxation at the PBE level of DFT.

Computed properties:
The space group is P1, No. 1. The total magnetic moment is 0.000 μB/atom. For the final energy, the calculation gives -6.43 eV/atom. The density of states at the Fermi level is 0.74 states/eV/f.u.

Cell lengths 5.3011, 5.6378, 6.9131 Å; angles 113.37, 90.55, 99.96 degrees
Last column: nearest neighbours and their distance in Å.
Fractional positions:
Os: 0.0000 0.0000 0.0000  6 O 1.92-2.09
Os: 0.4725 0.9966 0.9978  6 O 1.94-2.09
Se: 0.2981 0.1906 0.5325  2 O 2.12-2.24, 1 Se 2.22
Se: 0.6967 0.4197 0.6288  1 O 1.92
O: 0.1816 0.7128 0.9715  2 Os 1.97
O: 0.2528 0.0883 0.8134  2 Os 1.99-2.00
O: 0.2808 0.2109 0.2325  2 Os 2.01, 1 Se 2.12
O: 0.6970 0.7910 0.7654  1 Se 1.92, 2 Os 2.09
O: 0.7212 0.9086 0.1549  2 Os 1.95
O: 0.7825 0.2469 0.0181  2 Os 1.92-1.94

Entry 8:
Computed, not measured: OsSe2O after structural relaxation at the PBE level of DFT.

Computed properties:
The space group is R-3m, No. 166. The total magnetic moment is 0.000 μB/atom. For the final energy, the calculation gives -5.05 eV/atom. The density of states at the Fermi level is 2.68 states/eV/f.u.

Cell lengths 2.9294, 2.9294, 24.5481 Å; angles 90.00, 90.00, 120.00 degrees
Last column: nearest neighbours and their distance in Å.
Fractional positions:
Os: 0.0000 0.0000 0.0000  2 Se 2.38
Os: 0.3333 0.6667 0.6667  2 Se 2.38
Os: 0.6667 0.3333 0.3333  2 Se 2.38
Se: 0.0000 0.0000 0.0971  1 Os 2.38, 3 O 2.40
Se: 0.0000 0.0000 0.9029  1 Os 2.38, 3 O 2.40
Se: 0.3333 0.6667 0.5695  1 Os 2.38, 3 O 2.40
Se: 0.3333 0.6667 0.7638  1 Os 2.38, 3 O 2.40
Se: 0.6667 0.3333 0.2362  1 Os 2.38, 3 O 2.40
Se: 0.6667 0.3333 0.4305  1 Os 2.38, 3 O 2.40
O: 0.0000 0.0000 0.5000  6 Se 2.40
O: 0.3333 0.6667 0.1667  6 Se 2.40
O: 0.6667 0.3333 0.8333  6 Se 2.40

Entry 9:
Computed, not measured: OsSe3O9 after structural relaxation at the PBE level of DFT.

Computed properties:
The space group is Cc, No. 9. The total magnetic moment is 0.000 μB/atom. For the final energy, the calculation gives -5.80 eV/atom.

Cell lengths 7.6626, 7.6626, 10.7087 Å; angles 105.47, 105.47, 55.36 degrees
Last column: nearest neighbours and their distance in Å.
Fractional positions:
Os: 0.1965 0.8035 0.5000  3 O 1.72-1.92
Os: 0.8035 0.1965 0.0000  3 O 1.72-1.92
Se: 0.0031 0.6045 0.7610  1 O 1.62
Se: 0.1228 0.1307 0.7890  3 O 1.70-1.85
Se: 0.1307 0.1228 0.2890  3 O 1.70-1.85
Se: 0.3874 0.4580 0.1548  1 O 1.64
Se: 0.4580 0.3874 0.6548  1 O 1.64
Se: 0.6045 0.0031 0.2610  1 O 1.62
O: 0.0044 0.7398 0.4308  1 Os 1.73
O: 0.0748 0.9570 0.3236  1 Se 1.70
O: 0.0785 0.0854 0.1076  1 Se 1.85, 1 Os 1.92
O: 0.0854 0.0785 0.6076  1 Se 1.85, 1 Os 1.92
O: 0.2495 0.3669 0.6914  2 Se 1.84-1.89
O: 0.2935 0.6843 0.6623  1 Se 1.86, 1 Os 1.95
O: 0.3011 0.4556 0.9975  1 Se 1.64
O: 0.3669 0.2495 0.1914  2 Se 1.84-1.89
O: 0.4117 0.9365 0.2859  2 Se 1.79-1.91
O: 0.4478 0.6920 0.4616  1 Os 1.72
O: 0.4556 0.3011 0.4975  1 Se 1.64
O: 0.6843 0.2935 0.1623  1 Se 1.86, 1 Os 1.95
O: 0.6920 0.4478 0.9616  1 Os 1.72
O: 0.7038 0.8261 0.1360  1 Se 1.62
O: 0.7398 0.0044 0.9308  1 Os 1.73
O: 0.8261 0.7038 0.6360  1 Se 1.62
O: 0.9365 0.4117 0.7859  2 Se 1.79-1.91
O: 0.9570 0.0748 0.8236  1 Se 1.70

Entry 10:
Computed, not measured: Os2SeO after structural relaxation at the PBE level of DFT.

Computed properties:
The space group is Fm-3m, No. 225. The total magnetic moment is 0.000 μB/atom. For the final energy, the calculation gives -6.89 eV/atom. The density of states at the Fermi level is 1.97 states/eV/f.u.

Cell lengths 5.8986, 5.8986, 5.8986 Å; angles 90.00, 90.00, 90.00 degrees
Last column: nearest neighbours and their distance in Å.
Fractional positions:
Os: 0.2500 0.2500 0.2500  4 O 2.55, 4 Se 2.55
Os: 0.2500 0.2500 0.7500  4 O 2.55, 4 Se 2.55
Os: 0.2500 0.7500 0.2500  4 O 2.55, 4 Se 2.55
Os: 0.2500 0.7500 0.7500  4 O 2.55, 4 Se 2.55
Os: 0.7500 0.2500 0.2500  4 O 2.55, 4 Se 2.55
Os: 0.7500 0.2500 0.7500  4 O 2.55, 4 Se 2.55
Os: 0.7500 0.7500 0.2500  4 O 2.55, 4 Se 2.55
Os: 0.7500 0.7500 0.7500  4 Se 2.55, 4 O 2.55
Se: 0.0000 0.0000 0.0000  8 Os 2.55
Se: 0.0000 0.5000 0.5000  8 Os 2.55
Se: 0.5000 0.0000 0.5000  8 Os 2.55
Se: 0.5000 0.5000 0.0000  8 Os 2.55
O: 0.0000 0.0000 0.5000  8 Os 2.55
O: 0.0000 0.5000 0.0000  8 Os 2.55
O: 0.5000 0.0000 0.0000  8 Os 2.55
O: 0.5000 0.5000 0.5000  8 Os 2.55

Entry 11:
Computed, not measured: OsSe2O after structural relaxation at the PBE level of DFT.

Computed properties:
The space group is I-42d, No. 122. The total magnetic moment is 0.000 μB/atom. For the final energy, the calculation gives -5.43 eV/atom. The density of states at the Fermi level is 0.50 states/eV/f.u.

Cell lengths 5.5066, 5.5066, 10.3775 Å; angles 90.00, 90.00, 90.00 degrees
Last column: nearest neighbours and their distance in Å.
Fractional positions:
Os: 0.0000 0.0000 0.0000  4 Se 2.36
Os: 0.0000 0.5000 0.2500  4 Se 2.36
Os: 0.5000 0.0000 0.7500  4 Se 2.36
Os: 0.5000 0.5000 0.5000  4 Se 2.36
Se: 0.2432 0.2500 0.6250  2 O 2.32, 2 Os 2.36
Se: 0.2500 0.7432 0.8750  2 O 2.32, 2 Os 2.36
Se: 0.2500 0.7568 0.3750  2 O 2.32, 2 Os 2.36
Se: 0.2568 0.2500 0.1250  2 O 2.32, 2 Os 2.36
Se: 0.7432 0.7500 0.1250  2 O 2.32, 2 Os 2.36
Se: 0.7500 0.2432 0.3750  2 O 2.32, 2 Os 2.36
Se: 0.7500 0.2568 0.8750  2 O 2.32, 2 Os 2.36
Se: 0.7568 0.7500 0.6250  2 O 2.32, 2 Os 2.36
O: 0.0000 0.0000 0.5000  4 Se 2.32
O: 0.0000 0.5000 0.7500  4 Se 2.32
O: 0.5000 0.0000 0.2500  4 Se 2.32
O: 0.5000 0.5000 0.0000  4 Se 2.32

Entry 12:
Computed, not measured: OsSeO3 after structural relaxation at the PBE level of DFT.

Computed properties:
The space group is Pm-3m, No. 221. The total magnetic moment is 0.000 μB/atom. For the final energy, the calculation gives -6.01 eV/atom. The density of states at the Fermi level is 4.25 states/eV/f.u.

Cell lengths 3.8903, 3.8903, 3.8903 Å; angles 90.00, 90.00, 90.00 degrees
Last column: nearest neighbours and their distance in Å.
Fractional positions:
Os: 0.0000 0.0000 0.0000  6 O 1.95
Se: 0.5000 0.5000 0.5000  12 O 2.75
O: 0.0000 0.0000 0.5000  2 Os 1.95
O: 0.0000 0.5000 0.0000  2 Os 1.95
O: 0.5000 0.0000 0.0000  2 Os 1.95

Entry 13:
Computed, not measured: TaOsSe2O after structural relaxation at the PBE level of DFT.

Computed properties:
The space group is P4/mmm, No. 123. The total magnetic moment is 0.000 μB/atom. For the final energy, the calculation gives -5.67 eV/atom. The density of states at the Fermi level is 8.20 states/eV/f.u.

Cell lengths 4.6629, 4.6629, 5.0952 Å; angles 90.00, 90.00, 90.00 degrees
Last column: nearest neighbours and their distance in Å.
Fractional positions:
Ta: 0.0000 0.0000 0.0000  2 Os 2.55
Os: 0.0000 0.0000 0.5000  4 Se 2.33, 2 Ta 2.55
Se: 0.0000 0.5000 0.5000  2 Os 2.33
Se: 0.5000 0.0000 0.5000  2 Os 2.33
O: 0.5000 0.5000 0.0000  4 Ta 3.30, 8 Se 3.45

Entry 14:
Computed, not measured: TlOsSe2O8 after structural relaxation at the PBE level of DFT.

Computed properties:
The space group is C2/m, No. 12. The total magnetic moment is 0.000 μB/atom. For the final energy, the calculation gives -5.80 eV/atom. The density of states at the Fermi level is 2.44 states/eV/f.u.

Cell lengths 5.7049, 5.7049, 8.3449 Å; angles 98.60, 98.60, 56.38 degrees
Last column: nearest neighbours and their distance in Å.
Fractional positions:
Tl: 0.0000 0.0000 0.0000  10 O 3.05-3.38
Os: 0.0000 0.0000 0.5000  2 O 1.77
Se: 0.3768 0.3768 0.2917  3 O 1.65-1.82
Se: 0.6232 0.6232 0.7083  3 O 1.65-1.82
O: 0.1783 0.1783 0.5367  1 Os 1.77
O: 0.2529 0.7409 0.6729  1 Se 1.82, 1 Os 2.00
O: 0.2591 0.7471 0.3271  1 Se 1.82, 1 Os 2.00
O: 0.3410 0.3410 0.0913  1 Se 1.65
O: 0.6590 0.6590 0.9087  1 Se 1.65
O: 0.7409 0.2529 0.6729  1 Se 1.82, 1 Os 2.00
O: 0.7471 0.2591 0.3271  1 Se 1.82, 1 Os 2.00
O: 0.8217 0.8217 0.4633  1 Os 1.77